Compound: Ga2Ni3Au2
Source: Alexandria via LeMat-Bulk
Functional: PBE
Structure: relaxed

The structure in CIF format:
```
data_Ga2Ni3Au2
_cell_length_a 4.136
_cell_length_b 4.142
_cell_length_c 7.215
_cell_angle_alpha 90.01
_cell_angle_beta 106.57
_cell_angle_gamma 119.95
_space_group_name_H-M_alt 'P -1'
_space_group_IT_number 2
loop_
_space_group_symop_operation_xyz
'x,y,z'
'-x,-y,-z'
loop_
_atom_site_label
_atom_site_type_symbol
_atom_site_fract_x
_atom_site_fract_y
_atom_site_fract_z
Ga1 Ga 0.222 0.111 0.334
Ni1 Ni 0.000 0.500 0.500
Ni2 Ni 0.466 0.233 0.698
Au1 Au 0.260 0.630 0.889
```

Computed properties:
total DFT energy (no corrections)	-4.485	eV/atom
density of states at the Fermi level	3.59	states/eV/f.u.
DFT formation energy	-0.206	eV per atom

Compound: Ga4NiAu5
Source: Alexandria via LeMat-Bulk
Functional: PBE
Structure: relaxed

The structure in CIF format:
```
data_Ga4NiAu5
_cell_length_a 18.611
_cell_length_b 3.602
_cell_length_c 5.517
_cell_angle_alpha 90.00
_cell_angle_beta 100.57
_cell_angle_gamma 90.00
_space_group_name_H-M_alt 'C 1 2/m 1'
_space_group_IT_number 12
loop_
_space_group_symop_operation_xyz
'x,y,z'
'-x,-y,-z'
'-x,y,-z'
'x,-y,z'
'x+1/2,y+1/2,z'
'-x+1/2,-y+1/2,-z'
'-x+1/2,y+1/2,-z'
'x+1/2,-y+1/2,z'
loop_
_atom_site_label
_atom_site_type_symbol
_atom_site_fract_x
_atom_site_fract_y
_atom_site_fract_z
Ga1 Ga 0.069 0.000 0.346
Ga2 Ga 0.118 0.500 0.777
Ni1 Ni 0.000 0.500 0.500
Au1 Au 0.000 0.500 0.000
Au2 Au 0.179 0.000 0.105
Au3 Au 0.208 0.000 0.624
```

Computed properties:
total DFT energy (no corrections)	-3.624	eV/atom
density of states at the Fermi level	3.12	states/eV/f.u.
DFT formation energy	-0.197	eV per atom

Compound: Ga3Ni4Au
Source: Alexandria via LeMat-Bulk
Functional: PBE
Structure: relaxed

The structure in CIF format:
```
data_Ga3Ni4Au
_cell_length_a 3.969
_cell_length_b 3.969
_cell_length_c 6.574
_cell_angle_alpha 90.00
_cell_angle_beta 90.00
_cell_angle_gamma 90.00
_space_group_name_H-M_alt 'P 4/m m m'
_space_group_IT_number 123
_space_group_name_Hall '-P 4 2'
loop_
_atom_site_label
_atom_site_type_symbol
_atom_site_fract_x
_atom_site_fract_y
_atom_site_fract_z
Ga1 Ga 0.000 0.000 0.000
Ga2 Ga 0.000 0.000 0.500
Ga3 Ga 0.500 0.500 0.000
Ni1 Ni 0.000 0.500 0.228
Au1 Au 0.500 0.500 0.500
```

Computed properties:
total DFT energy (no corrections)	-4.730	eV/atom
density of states at the Fermi level	4.64	states/eV/f.u.
DFT formation energy	-0.294	eV per atom

Compound: Ga2Ni3Au
Source: Alexandria via LeMat-Bulk
Functional: PBE
Structure: relaxed

The structure in CIF format:
```
data_Ga2Ni3Au
_cell_length_a 2.940
_cell_length_b 2.940
_cell_length_c 9.076
_cell_angle_alpha 90.00
_cell_angle_beta 90.00
_cell_angle_gamma 90.00
_space_group_name_H-M_alt 'P 4/m m m'
_space_group_IT_number 123
_space_group_name_Hall '-P 4 2'
loop_
_atom_site_label
_atom_site_type_symbol
_atom_site_fract_x
_atom_site_fract_y
_atom_site_fract_z
Ga1 Ga 0.000 0.000 0.161
Ni1 Ni 0.500 0.500 0.000
Ni2 Ni 0.500 0.500 0.305
Au1 Au 0.000 0.000 0.500
```

Computed properties:
total DFT energy (no corrections)	-4.708	eV/atom
density of states at the Fermi level	3.16	states/eV/f.u.
DFT formation energy	-0.262	eV per atom

| no. | total magnetic moment (μB per formula unit) |
| --- | --- |
| 1 | 0.00 |
| 2 | 0.00 |
| 3 | 0.00 |
| 4 | 0.00 |